CdReIrO2 | Alexandria via LeMat-Bulk | GGA-PBE | relaxed; space group = P4/mmm (123); total DFT energy (no corrections) = -4.9994 eV/atom; formation energy without anion corrections = 1.429 eV/atom
1.0
3.9250 0.0000 0.0000
0.0000 5.4284 0.0000
0.0000 0.0000 3.9250
Re O Ir Cd
1 2 1 1
direct
0.5000 0.5000 0.5000
0.0000 0.0000 0.5000
0.5000 0.0000 0.0000
0.0000 0.5000 0.0000
0.0000 0.0000 0.0000